A.
! PBE LiPaAg, relaxed; values from VASP
! Volume: 62.10 Å³/cell
&SYSTEM
  ibrav = 0, nat = 3, ntyp = 3
/
ATOMIC_SPECIES
Li 6.94 Li.upf
Pa 231.04 Pa.upf
Ag 107.87 Ag.upf
CELL_PARAMETERS angstrom
4.913 0.000 0.000
-2.456 4.255 0.000
0.000 0.000 2.971
ATOMIC_POSITIONS angstrom
Li 0.000 0.000 0.000
Pa 0.000 2.836 1.486
Ag 2.456 1.418 0.000


B.
! PBE LiPaAg, relaxed; values from VASP
! Volume: 118.72 Å³/cell
&SYSTEM
  ibrav = 0, nat = 6, ntyp = 3
/
ATOMIC_SPECIES
Li 6.94 Li.upf
Pa 231.04 Pa.upf
Ag 107.87 Ag.upf
CELL_PARAMETERS angstrom
3.011 0.000 0.000
0.000 3.672 0.000
-1.500 0.000 10.738
ATOMIC_POSITIONS angstrom
Li -0.001 0.918 4.560
Li 1.512 2.754 6.178
Pa 0.000 0.918 1.016
Pa 1.511 2.754 9.722
Ag 0.007 0.918 7.526
Ag 1.504 2.754 3.212


Stability, highest: B


A.
! PBE Li4Ag4Pb, relaxed; values from VASP
! Volume: 352.70 Å³/cell
&SYSTEM
  ibrav = 0, nat = 18, ntyp = 3
/
ATOMIC_SPECIES
Li 6.94 Li.upf
Ag 107.87 Ag.upf
Pb 207.20 Pb.upf
CELL_PARAMETERS angstrom
6.047 0.000 0.000
0.000 6.047 0.000
0.000 0.000 9.644
ATOMIC_POSITIONS angstrom
Li 0.092 1.512 0.283
Li 1.512 0.092 5.106
Li 1.512 2.932 5.106
Li 2.932 1.512 0.283
Li 3.115 4.536 9.361
Li 4.536 3.115 4.539
Li 4.536 5.956 4.539
Li 5.956 4.536 9.361
Ag 0.153 1.512 3.154
Ag 1.512 0.153 7.976
Ag 1.512 2.870 7.976
Ag 2.870 1.512 3.154
Ag 3.177 4.536 6.490
Ag 4.536 3.177 1.668
Ag 4.536 5.894 1.668
Ag 5.894 4.536 6.490
Pb 1.512 4.536 2.411
Pb 4.536 1.512 7.233


B.
! PBE Li4Ag4Pb, relaxed; values from VASP
! Volume: 167.21 Å³/cell
&SYSTEM
  ibrav = 0, nat = 9, ntyp = 3
/
ATOMIC_SPECIES
Li 6.94 Li.upf
Ag 107.87 Ag.upf
Pb 207.20 Pb.upf
CELL_PARAMETERS angstrom
-4.486 4.486 2.077
4.486 -4.486 2.077
4.486 4.486 -2.077
ATOMIC_POSITIONS angstrom
Li 2.894 0.000 0.000
Li 6.077 0.000 0.000
Li 0.000 2.894 0.000
Li 0.000 6.077 0.000
Ag 2.918 2.918 0.000
Ag 1.568 -1.568 2.077
Ag -1.568 1.568 2.077
Ag 1.568 1.568 2.077
Pb 0.000 0.000 0.000


Stability, highest: B


A.
! PBE Li2AgPb2, relaxed; values from VASP
! Volume: 110.50 Å³/cell
&SYSTEM
  ibrav = 0, nat = 5, ntyp = 3
/
ATOMIC_SPECIES
Li 6.94 Li.upf
Ag 107.87 Ag.upf
Pb 207.20 Pb.upf
CELL_PARAMETERS angstrom
4.141 0.000 0.000
2.061 4.986 0.000
2.001 0.257 5.352
ATOMIC_POSITIONS angstrom
Li 1.026 1.018 0.713
Li 7.177 4.225 4.639
Ag 3.071 0.129 2.676
Pb 3.067 3.177 1.500
Pb 5.136 2.066 3.852


B.
! PBE Li2AgPb2, relaxed; values from VASP
! Volume: 222.72 Å³/cell
&SYSTEM
  ibrav = 0, nat = 10, ntyp = 3
/
ATOMIC_SPECIES
Li 6.94 Li.upf
Ag 107.87 Ag.upf
Pb 207.20 Pb.upf
CELL_PARAMETERS angstrom
7.936 0.000 0.000
0.000 7.936 0.000
0.000 0.000 3.536
ATOMIC_POSITIONS angstrom
Li 1.244 2.724 0.000
Li 2.724 6.692 0.000
Li 5.212 1.244 0.000
Li 6.692 5.212 0.000
Ag 0.000 0.000 1.768
Ag 3.968 3.968 1.768
Pb 1.153 5.121 1.768
Pb 2.815 1.153 1.768
Pb 5.121 6.783 1.768
Pb 6.783 2.815 1.768


C.
! PBE Li2AgPb2, relaxed; values from VASP
! Volume: 115.33 Å³/cell
&SYSTEM
  ibrav = 0, nat = 5, ntyp = 3
/
ATOMIC_SPECIES
Li 6.94 Li.upf
Ag 107.87 Ag.upf
Pb 207.20 Pb.upf
CELL_PARAMETERS angstrom
-2.001 2.001 7.203
2.001 -2.001 7.203
2.001 2.001 -7.203
ATOMIC_POSITIONS angstrom
Li 2.001 0.000 3.601
Li 0.000 2.001 3.601
Ag 0.000 0.000 0.000
Pb 0.000 0.000 5.708
Pb 0.000 0.000 8.697


D.
! PBE Li2AgPb2, relaxed; values from VASP
! Volume: 212.57 Å³/cell
&SYSTEM
  ibrav = 0, nat = 10, ntyp = 3
/
ATOMIC_SPECIES
Li 6.94 Li.upf
Ag 107.87 Ag.upf
Pb 207.20 Pb.upf
CELL_PARAMETERS angstrom
7.030 0.000 0.000
0.000 7.030 0.000
0.000 0.000 4.301
ATOMIC_POSITIONS angstrom
Li 0.976 2.539 0.000
Li 2.539 6.054 0.000
Li 4.491 0.976 0.000
Li 6.054 4.491 0.000
Ag 0.000 0.000 0.000
Ag 3.515 3.515 0.000
Pb 1.198 4.713 2.150
Pb 2.317 1.198 2.150
Pb 4.713 5.833 2.150
Pb 5.833 2.317 2.150


Stability, highest: A


A.
! PBE Li4AgPb, relaxed; values from VASP
! Volume: 240.39 Å³/cell
&SYSTEM
  ibrav = 0, nat = 12, ntyp = 3
/
ATOMIC_SPECIES
Li 6.94 Li.upf
Ag 107.87 Ag.upf
Pb 207.20 Pb.upf
CELL_PARAMETERS angstrom
7.248 -3.365 0.000
7.248 3.365 0.000
-1.897 0.000 4.928
ATOMIC_POSITIONS angstrom
Li 4.645 1.799 1.824
Li 7.248 2.172 0.000
Li 3.064 0.000 4.038
Li 7.955 1.799 3.104
Li 4.645 -1.799 1.824
Li 9.535 0.000 0.890
Li 7.248 -2.172 0.000
Li 7.955 -1.799 3.104
Ag 6.765 0.000 1.248
Ag 5.834 0.000 3.680
Pb 2.469 0.000 0.979
Pb 10.130 0.000 3.949


B.
! PBE Li4AgPb, relaxed; values from VASP
! Volume: 105.48 Å³/cell
&SYSTEM
  ibrav = 0, nat = 6, ntyp = 3
/
ATOMIC_SPECIES
Li 6.94 Li.upf
Ag 107.87 Ag.upf
Pb 207.20 Pb.upf
CELL_PARAMETERS angstrom
0.000 3.750 3.750
3.750 0.000 3.750
3.750 3.750 0.000
ATOMIC_POSITIONS angstrom
Li 0.938 0.938 0.938
Li 2.813 2.813 0.938
Li 2.813 0.938 2.813
Li 0.938 2.813 2.813
Ag 3.750 3.750 3.750
Pb 5.625 5.625 5.625


C.
! PBE Li4AgPb, relaxed; values from VASP
! Volume: 215.50 Å³/cell
&SYSTEM
  ibrav = 0, nat = 12, ntyp = 3
/
ATOMIC_SPECIES
Li 6.94 Li.upf
Ag 107.87 Ag.upf
Pb 207.20 Pb.upf
CELL_PARAMETERS angstrom
2.876 -8.017 0.000
2.876 8.017 0.000
0.000 0.000 4.673
ATOMIC_POSITIONS angstrom
Li 1.442 3.311 1.168
Li 1.409 0.648 1.168
Li 1.409 -0.648 3.504
Li 1.442 -3.311 3.504
Li 4.311 3.311 1.168
Li 4.343 0.648 1.168
Li 4.343 -0.648 3.504
Li 4.311 -3.311 3.504
Ag 2.876 1.852 3.504
Ag 2.876 -1.852 1.168
Pb 2.876 5.914 1.168
Pb 2.876 -5.914 3.504


Stability, highest: C


A.
! PBE Li3AgPb4, relaxed; values from VASP
! Volume: 185.63 Å³/cell
&SYSTEM
  ibrav = 0, nat = 8, ntyp = 3
/
ATOMIC_SPECIES
Li 6.94 Li.upf
Ag 107.87 Ag.upf
Pb 207.20 Pb.upf
CELL_PARAMETERS angstrom
3.779 0.000 0.000
0.000 4.971 0.000
0.000 0.000 9.883
ATOMIC_POSITIONS angstrom
Li 0.000 0.000 0.000
Li 0.000 2.485 2.521
Li 0.000 2.485 7.362
Ag 0.000 0.000 4.941
Pb 1.889 0.000 2.454
Pb 1.889 0.000 7.429
Pb 1.889 2.485 0.000
Pb 1.889 2.485 4.941


B.
! PBE Li3AgPb4, relaxed; values from VASP
! Volume: 191.94 Å³/cell
&SYSTEM
  ibrav = 0, nat = 8, ntyp = 3
/
ATOMIC_SPECIES
Li 6.94 Li.upf
Ag 107.87 Ag.upf
Pb 207.20 Pb.upf
CELL_PARAMETERS angstrom
-1.731 4.352 6.371
1.731 -4.352 6.371
1.731 4.352 -6.371
ATOMIC_POSITIONS angstrom
Li 0.000 0.000 0.000
Li 1.731 0.000 4.153
Li 0.000 4.352 2.218
Ag 0.000 0.000 6.371
Pb 1.731 1.870 -1.749
Pb 1.731 1.870 1.749
Pb 0.000 2.482 4.622
Pb 0.000 2.482 8.119


Stability, highest: A


A.
! PBE Li4Ag7Pb, relaxed; values from VASP
! Volume: 216.08 Å³/cell
&SYSTEM
  ibrav = 0, nat = 12, ntyp = 3
/
ATOMIC_SPECIES
Li 6.94 Li.upf
Ag 107.87 Ag.upf
Pb 207.20 Pb.upf
CELL_PARAMETERS angstrom
5.300 0.000 0.000
0.199 5.713 0.000
2.244 1.824 7.136
ATOMIC_POSITIONS angstrom
Li 1.638 1.582 2.369
Li 3.357 4.512 4.800
Li 4.386 3.025 2.336
Li 6.105 5.955 4.767
Ag 0.165 4.248 0.010
Ag 1.792 4.451 2.506
Ag 3.217 1.688 4.609
Ag 2.750 2.857 0.000
Ag 4.526 5.849 2.528
Ag 5.952 3.086 4.630
Ag 7.579 3.289 7.126
Pb 2.650 0.000 0.000


B.
! PBE Li4Ag7Pb, relaxed; values from VASP
! Volume: 238.73 Å³/cell
&SYSTEM
  ibrav = 0, nat = 12, ntyp = 3
/
ATOMIC_SPECIES
Li 6.94 Li.upf
Ag 107.87 Ag.upf
Pb 207.20 Pb.upf
CELL_PARAMETERS angstrom
5.366 -2.622 0.000
5.366 2.622 0.000
-5.274 0.000 8.483
ATOMIC_POSITIONS angstrom
Li -0.416 0.000 2.273
Li -1.820 0.000 6.924
Li 7.278 0.000 1.559
Li 5.874 0.000 6.210
Ag -2.637 0.000 4.241
Ag 1.455 0.000 0.282
Ag -0.006 0.000 4.968
Ag 4.265 0.000 0.976
Ag 1.193 0.000 7.507
Ag 5.464 0.000 3.515
Ag 4.002 0.000 8.201
Pb 2.729 0.000 4.241


Stability, highest: A


A.
! PBE Li4Ag2Pb3, relaxed; values from VASP
! Volume: 187.06 Å³/cell
&SYSTEM
  ibrav = 0, nat = 9, ntyp = 3
/
ATOMIC_SPECIES
Li 6.94 Li.upf
Ag 107.87 Ag.upf
Pb 207.20 Pb.upf
CELL_PARAMETERS angstrom
5.191 -2.373 0.000
5.191 2.373 0.000
-4.461 0.000 7.593
ATOMIC_POSITIONS angstrom
Li -1.193 0.000 2.754
Li -1.012 0.000 7.398
Li 6.934 0.000 0.195
Li 7.114 0.000 4.839
Ag 0.523 0.000 5.094
Ag 5.398 0.000 2.499
Pb 0.000 0.000 0.000
Pb 2.093 0.000 2.442
Pb 3.828 0.000 5.150


B.
! PBE Li4Ag2Pb3, relaxed; values from VASP
! Volume: 185.72 Å³/cell
&SYSTEM
  ibrav = 0, nat = 9, ntyp = 3
/
ATOMIC_SPECIES
Li 6.94 Li.upf
Ag 107.87 Ag.upf
Pb 207.20 Pb.upf
CELL_PARAMETERS angstrom
5.069 0.000 0.000
-2.532 4.654 0.000
-0.779 -1.355 7.872
ATOMIC_POSITIONS angstrom
Li -0.386 0.864 1.260
Li -0.385 2.312 4.039
Li 2.143 0.987 3.833
Li 2.144 2.435 6.612
Ag -0.378 1.035 6.648
Ag 2.137 2.264 1.224
Pb -0.389 -0.678 3.936
Pb -0.391 3.872 1.426
Pb 2.150 -0.573 6.447


Stability, highest: B


A.
! PBE Li3Ag3Pb, relaxed; values from VASP
! Volume: 262.02 Å³/cell
&SYSTEM
  ibrav = 0, nat = 14, ntyp = 3
/
ATOMIC_SPECIES
Li 6.94 Li.upf
Ag 107.87 Ag.upf
Pb 207.20 Pb.upf
CELL_PARAMETERS angstrom
3.528 2.037 6.078
-3.528 2.037 6.078
0.000 -4.073 6.078
ATOMIC_POSITIONS angstrom
Li -2.635 0.647 7.252
Li -1.878 -1.958 10.982
Li 0.757 -2.606 7.252
Li -0.757 2.606 10.982
Li 1.878 1.958 7.252
Li 2.635 -0.647 10.982
Ag -1.833 -1.740 8.343
Ag -2.423 0.718 9.891
Ag 0.590 -2.458 9.891
Ag -0.590 2.458 8.343
Ag 2.423 -0.718 8.343
Ag 1.833 1.740 9.891
Pb 0.000 0.000 6.508
Pb 0.000 0.000 11.726


B.
! PBE Li3Ag3Pb, relaxed; values from VASP
! Volume: 526.94 Å³/cell
&SYSTEM
  ibrav = 0, nat = 28, ntyp = 3
/
ATOMIC_SPECIES
Li 6.94 Li.upf
Ag 107.87 Ag.upf
Pb 207.20 Pb.upf
CELL_PARAMETERS angstrom
8.077 0.000 0.000
0.000 8.077 0.000
0.000 0.000 8.077
ATOMIC_POSITIONS angstrom
Li 0.282 2.491 7.093
Li 0.984 4.321 1.548
Li 1.548 0.984 4.321
Li 2.491 7.093 0.282
Li 3.055 3.756 5.586
Li 3.756 5.586 3.055
Li 4.321 1.548 0.984
Li 5.022 7.795 6.529
Li 5.586 3.055 3.756
Li 6.529 5.022 7.795
Li 7.093 0.282 2.491
Li 7.795 6.529 5.022
Ag 1.066 5.105 7.011
Ag 1.241 6.836 2.798
Ag 1.353 1.353 1.353
Ag 2.685 6.724 5.392
Ag 2.798 1.241 6.836
Ag 2.972 2.972 2.972
Ag 5.105 7.011 1.066
Ag 5.279 5.279 5.279
Ag 5.392 2.685 6.724
Ag 6.724 5.392 2.685
Ag 6.836 2.798 1.241
Ag 7.011 1.066 5.105
Pb 0.354 3.685 4.392
Pb 3.685 4.392 0.354
Pb 4.392 0.354 3.685
Pb 7.723 7.723 7.723


Stability, highest: B


A.
! PBE Li5Ag6Pb, relaxed; values from VASP
! Volume: 207.20 Å³/cell
&SYSTEM
  ibrav = 0, nat = 12, ntyp = 3
/
ATOMIC_SPECIES
Li 6.94 Li.upf
Ag 107.87 Ag.upf
Pb 207.20 Pb.upf
CELL_PARAMETERS angstrom
-2.259 3.384 6.777
2.259 -3.384 6.777
2.259 3.384 -6.777
ATOMIC_POSITIONS angstrom
Li 0.000 0.000 0.000
Li 2.259 0.000 2.368
Li 0.000 0.000 4.660
Li 0.000 0.000 8.893
Li 0.000 3.384 4.409
Ag 2.259 -1.848 4.395
Ag 2.259 1.446 0.000
Ag 0.000 1.535 2.382
Ag 2.259 1.848 4.395
Ag 0.000 1.938 6.777
Ag 0.000 5.232 2.382
Pb 0.000 3.384 0.000


B.
! PBE Li5Ag6Pb, relaxed; values from VASP
! Volume: 208.69 Å³/cell
&SYSTEM
  ibrav = 0, nat = 12, ntyp = 3
/
ATOMIC_SPECIES
Li 6.94 Li.upf
Ag 107.87 Ag.upf
Pb 207.20 Pb.upf
CELL_PARAMETERS angstrom
2.310 -6.964 0.000
2.310 6.964 0.000
-0.026 0.000 6.487
ATOMIC_POSITIONS angstrom
Li 0.000 0.000 0.000
Li 2.310 2.298 0.000
Li 2.297 2.238 3.243
Li 2.297 -2.238 3.243
Li 2.310 -2.298 0.000
Ag 2.304 4.469 1.563
Ag 2.290 4.469 4.923
Ag 2.305 0.000 1.430
Ag 2.289 0.000 5.057
Ag 2.304 -4.469 1.563
Ag 2.290 -4.469 4.923
Pb -0.013 0.000 3.243


Stability, highest: A